CoAs2W | PBEsol | relaxed

```
data_CoAs2W
_chemical_formula_sum 'Co1 As2 W1'
_space_group_name_H-M_alt 'P 4 m m'
_space_group_IT_number 99
_cell_length_a 2.787
_cell_length_b 2.787
_cell_length_c 8.319
_cell_angle_alpha 90.00
_cell_angle_beta 90.00
_cell_angle_gamma 90.00
loop_
_space_group_symop_operation_xyz
'x,y,z'
'-y,x,z'
'-x,-y,z'
'y,-x,z'
'-x,y,z'
'y,x,z'
'x,-y,z'
'-y,-x,z'
loop_
_atom_site_label
_atom_site_type_symbol
_atom_site_fract_x
_atom_site_fract_y
_atom_site_fract_z
Co1 Co 0.000 0.000 0.000
As1 As 0.000 0.000 0.435
As2 As 0.500 0.500 0.821
W1 W 0.500 0.500 0.202
```

***

MgCr2In | PBEsol | relaxed

```
data_MgCr2In
_chemical_formula_sum 'Mg1 Cr2 In1'
_space_group_name_H-M_alt 'P 4 m m'
_space_group_IT_number 99
_cell_length_a 3.061
_cell_length_b 3.061
_cell_length_c 6.875
_cell_angle_alpha 90.00
_cell_angle_beta 90.00
_cell_angle_gamma 90.00
loop_
_space_group_symop_operation_xyz
'x,y,z'
'-y,x,z'
'-x,-y,z'
'y,-x,z'
'-x,y,z'
'y,x,z'
'x,-y,z'
'-y,-x,z'
loop_
_atom_site_label
_atom_site_type_symbol
_atom_site_fract_x
_atom_site_fract_y
_atom_site_fract_z
Mg1 Mg 0.000 0.000 0.000
Cr1 Cr 0.000 0.000 0.416
Cr2 Cr 0.500 0.500 0.264
In1 In 0.500 0.500 0.683
```

***

Record-wise magnetic moment values, in μB/atom: 0.1550 0.0738
Record-wise E values, in eV per atom: -7.888 -6.065
Record-wise density of states at the Fermi level values, in states/eV/atom: 0.618 0.556